(1)
Compound: LaTbPmZr
Source: the Alexandria database
Functional: PBE
Structure: optimized geometry

abc: 5.5654 5.5654 5.5654
angles: 60.00 60.00 60.00
Closest atoms and distances in Å follow each position.
Fractional positions:
La 0.0000 0.0000 0.0000  4 Zr 3.41, 4 Tb 3.41
Tb 0.2500 0.2500 0.2500  4 La 3.41, 4 Pm 3.41
Pm 0.5000 0.5000 0.5000  4 Zr 3.41, 4 Tb 3.41
Zr 0.7500 0.7500 0.7500  4 La 3.41, 4 Pm 3.41

Volume ... 121.89 Å³/cell
Energy of formation from the pure elements ... 0.213 eV per atom

***

(2)
Compound: PmErOsRh
Source: the Alexandria database
Functional: PBE
Structure: optimized geometry

abc: 4.8757 4.8757 4.8757
angles: 60.00 60.00 60.00
Closest atoms and distances in Å follow each position.
Fractional positions:
Pm 0.0000 0.0000 0.0000  4 Os 2.99, 4 Rh 2.99
Er 0.5000 0.5000 0.5000  4 Os 2.99, 4 Rh 2.99
Os 0.7500 0.7500 0.7500  4 Er 2.99, 4 Pm 2.99
Rh 0.2500 0.2500 0.2500  4 Er 2.99, 4 Pm 2.99

Volume ... 81.96 Å³/cell
Energy of formation from the pure elements ... -0.382 eV per atom

***

(3)
Compound: PmMg2Zn2Ga2
Source: the Alexandria database
Functional: PBE
Structure: optimized geometry

abc: 8.7053 8.7053 8.7053
angles: 29.44 29.44 29.44
Closest atoms and distances in Å follow each position.
Fractional positions:
Pm 0.0000 0.0000 0.0000  6 Zn 3.17, 6 Ga 3.22, 2 Mg 3.36
Mg 0.1348 0.1348 0.1348  4 Ga 2.92-3.00, 3 Zn 2.96, 3 Mg 3.01
Mg 0.8652 0.8652 0.8652  4 Ga 2.92-3.00, 3 Zn 2.96, 3 Mg 3.01
Zn 0.4085 0.4085 0.4085  3 Ga 2.56
Zn 0.5915 0.5915 0.5915  3 Ga 2.56
Ga 0.2549 0.2549 0.2549  3 Zn 2.56
Ga 0.7451 0.7451 0.7451  3 Zn 2.56

Volume ... 141.02 Å³/cell
Energy of formation from the pure elements ... -0.357 eV per atom

***

(4)
Compound: Sr2LiBe
Source: the Alexandria database
Functional: PBE
Structure: optimized geometry

abc: 6.8282 6.8282 6.8282
angles: 147.67 132.17 58.91
Closest atoms and distances in Å follow each position.
Fractional positions:
Sr 0.0000 0.0000 0.0000  2 Be 3.27, 4 Li 3.64, 2 Sr 3.65
Sr 0.7004 0.2004 0.5000  4 Be 3.37, 2 Li 3.51, 2 Sr 3.65
Li 0.3819 0.3819 0.0000  2 Be 2.68
Be 0.2233 0.7233 0.5000  2 Li 2.68

Volume ... 125.12 Å³/cell
Energy of formation from the pure elements ... 0.333 eV per atom

***

(5)
Compound: Ba3Zn8Ga3
Source: the Alexandria database
Functional: PBE
Structure: optimized geometry

abc: 8.8345 8.8345 11.4158
angles: 129.36 129.36 28.97
Closest atoms and distances in Å follow each position.
Fractional positions:
Ba 0.0000 0.0000 0.0000  12 Zn 3.58-4.01, 4 Ga 3.76, 2 Ba 3.84
Ba 0.2968 0.2968 0.2964  5 Ga 3.37-3.69, 9 Zn 3.45-3.61
Ba 0.7032 0.7032 0.7036  5 Ga 3.37-3.69, 9 Zn 3.45-3.61
Zn 0.1071 0.1071 0.3982  6 Zn 2.61-2.87, 1 Ga 2.74
Zn 0.1144 0.1144 0.8269  3 Zn 2.65-2.87, 4 Ga 2.68-2.86
Zn 0.3133 0.3133 0.6142  4 Zn 2.61-2.67
Zn 0.4991 0.4991 0.2871  5 Zn 2.61-2.65, 1 Ga 2.64
Zn 0.5009 0.5009 0.7129  5 Zn 2.61-2.65, 1 Ga 2.64
Zn 0.6867 0.6867 0.3858  4 Zn 2.61-2.67
Zn 0.8856 0.8856 0.1731  3 Zn 2.65-2.87, 4 Ga 2.68-2.86
Zn 0.8929 0.8929 0.6018  6 Zn 2.61-2.87, 1 Ga 2.74
Ga 0.0000 0.0000 0.5000  4 Zn 2.74-2.86
Ga 0.3211 0.3211 0.9982  4 Zn 2.64-2.70
Ga 0.6789 0.6789 0.0018  4 Zn 2.64-2.70

Volume ... 326.07 Å³/cell
Energy of formation from the pure elements ... -0.227 eV per atom
ΔE to the lowest computed polymorph ... 0 meV/atom

***

(6)
Compound: GeHO2
Source: the Alexandria database
Functional: PBE
Structure: optimized geometry

abc: 5.3527 5.3527 5.3527
angles: 133.15 133.15 68.42
Closest atoms and distances in Å follow each position.
Fractional positions:
Ge 0.0000 0.0000 0.0000  4 O 1.94
Ge 0.7500 0.2500 0.5000  4 O 1.94
H 0.2500 0.7500 0.5000  4 O 1.80
H 0.5000 0.5000 0.0000  4 O 1.80
O 0.1550 0.6250 0.0300  2 H 1.80, 2 Ge 1.94
O 0.3750 0.4050 0.5300  2 H 1.80, 2 Ge 1.94
O 0.5950 0.1250 0.9700  2 H 1.80, 2 Ge 1.94
O 0.8750 0.8450 0.4700  2 H 1.80, 2 Ge 1.94

Volume ... 80.17 Å³/cell
ΔE to the lowest computed polymorph ... 681 meV/atom

***

no.,density (Mg/m³)
1,7.3
2,12.3
3,5.5
4,2.5
5,5.8
6,4.4